[1]
Density functional theory data (meta-GGA SCAN) for a crystal of AlSi2Te relaxed with PBEsol.

```
AlSi2Te
1.0
3.6927 0.0000 0.0000
0.0000 1.4430 7.3303
0.0000 -1.4430 7.3303
Al Si Te
1 2 1
direct
0.0000 0.0000 0.0000 Al
0.0000 0.6997 0.6997 Si
0.5000 0.5881 0.5881 Si
0.5000 0.8468 0.8468 Te
```

## Properties
V	19.529	Å³ per atom
ρ	4.480	Mg/m³
formation energy from raw total energies	0.34	eV per atom
polymorph energy (0 for the lowest one)	0.00	eV/f.u.
magnetic moment	0.001	μB/f.u.

[2]
Density functional theory data (meta-GGA SCAN) for a crystal of Cr2Ir relaxed with PBEsol.

```
Cr2Ir
1.0
0.0000 3.2999 3.2999
3.2999 0.0000 3.2999
3.2999 3.2999 0.0000
Cr Ir
4 2
direct
0.0000 0.0000 0.0000 Cr
0.0000 0.0000 0.5000 Cr
0.0000 0.5000 0.0000 Cr
0.5000 0.0000 0.0000 Cr
0.3750 0.3750 0.3750 Ir
0.6250 0.6250 0.6250 Ir
```

## Properties
V	11.978	Å³ per atom
ρ	13.688	Mg/m³
calculated formation energy	-0.165	eV per atom
magnetic moment	0.000	μB/f.u.

[3]
Density functional theory data (meta-GGA SCAN) for a crystal of Co4IrRh relaxed with PBEsol.

```
Co4IrRh
1.0
0.0000 3.2749 3.2749
3.2749 0.0000 3.2749
3.2749 3.2749 0.0000
Co Ir Rh
4 1 1
direct
0.1250 0.1250 0.1250 Co
0.1250 0.1250 0.6249 Co
0.1250 0.6249 0.1250 Co
0.6249 0.1250 0.1250 Co
0.5000 0.5000 0.5000 Ir
0.7500 0.7500 0.7500 Rh
```

## Properties
V	11.707	Å³ per atom
ρ	12.549	Mg/m³
calculated formation energy	0.011	eV per atom
magnetic moment	9.571	μB/f.u.

What is the V in the third record?
11.707 Å³ per atom